*i*
A plane-wave DFT calculation with GGA-PBE was carried out for a geometry-optimized BaTiAsSe2 structure.

Its total magnetic moment is 0.251 μB per atom.

The structure belongs to space group P4/mmm (No. 123); the cell edges are 5.881, 5.881 and 5.663 Å and the angles 90.00°, 90.00° and 90.00°. Symmetry generates all atoms from Ba at (0.000, 0.000, 0.000), Ti at (0.500, 0.500, 0.500), As at (0.000, 0.000, 0.500) and Se at (0.000, 0.500, 0.000).



*ii*
A plane-wave DFT calculation with GGA-PBE was carried out for a geometry-optimized BaTiAsSe2 structure.

Its total magnetic moment is 0.000 μB per atom.

The structure belongs to space group P4/mmm (No. 123); the cell edges are 5.105, 5.105 and 4.999 Å and the angles 90.00°, 90.00° and 90.00°. Symmetry generates all atoms from Ba at (0.000, 0.000, 0.000), Ti at (0.500, 0.500, 0.500), As at (0.500, 0.500, 0.000) and Se at (0.000, 0.500, 0.500).



Going by the computed energies, the most stable comes first: *ii*, *i*.



*i*
A plane-wave DFT calculation with GGA-PBE was carried out for a geometry-optimized BaAsWSe2 structure.

Its total magnetic moment is 0.000 μB per atom.

The structure belongs to space group P4/mmm (No. 123); the cell edges are 5.122, 5.122 and 4.928 Å and the angles 90.00°, 90.00° and 90.00°. Symmetry generates all atoms from Ba at (0.000, 0.000, 0.000), As at (0.500, 0.500, 0.000), W at (0.500, 0.500, 0.500) and Se at (0.000, 0.500, 0.500).



*ii*
A plane-wave DFT calculation with GGA-PBE was carried out for a geometry-optimized BaAsWSe2 structure.

Its total magnetic moment is 0.372 μB per atom.

The structure belongs to space group P4/mmm (No. 123); the cell edges are 5.953, 5.953 and 5.964 Å and the angles 90.00°, 90.00° and 90.00°. Symmetry generates all atoms from Ba at (0.000, 0.000, 0.000), As at (0.000, 0.000, 0.500), W at (0.500, 0.500, 0.500) and Se at (0.000, 0.500, 0.000).



Going by the computed energies, the most stable comes first: *i*, *ii*.



*i*
A plane-wave DFT calculation with GGA-PBE was carried out for a geometry-optimized BaYAsSe2 structure.

Its total magnetic moment is 0.000 μB per atom.

The structure belongs to space group P4/mmm (No. 123); the cell edges are 5.503, 5.503 and 5.434 Å and the angles 90.00°, 90.00° and 90.00°. Symmetry generates all atoms from Ba at (0.000, 0.000, 0.000), Y at (0.500, 0.500, 0.500), As at (0.500, 0.500, 0.000) and Se at (0.000, 0.500, 0.500).



*ii*
A plane-wave DFT calculation with GGA-PBE was carried out for a geometry-optimized BaYAsSe2 structure.

Its total magnetic moment is 0.000 μB per atom.

The structure belongs to space group P4/mmm (No. 123); the cell edges are 5.759, 5.759 and 5.601 Å and the angles 90.00°, 90.00° and 90.00°. Symmetry generates all atoms from Ba at (0.000, 0.000, 0.000), Y at (0.500, 0.500, 0.500), As at (0.000, 0.000, 0.500) and Se at (0.000, 0.500, 0.000).



Going by the computed energies, the most stable comes first: *i*, *ii*.



*i*
A plane-wave DFT calculation with GGA-PBE was carried out for a geometry-optimized BaZnAsSe2 structure.

Its total magnetic moment is 0.000 μB per atom.

The structure belongs to space group P4/mmm (No. 123); the cell edges are 5.287, 5.287 and 4.759 Å and the angles 90.00°, 90.00° and 90.00°. Symmetry generates all atoms from Ba at (0.000, 0.000, 0.000), Zn at (0.500, 0.500, 0.500), As at (0.500, 0.500, 0.000) and Se at (0.000, 0.500, 0.500).



*ii*
A plane-wave DFT calculation with GGA-PBE was carried out for a geometry-optimized BaZnAsSe2 structure.

Its total magnetic moment is 1.015 μB per atom.

The structure belongs to space group P4/mmm (No. 123); the cell edges are 6.348, 6.348 and 6.791 Å and the angles 90.00°, 90.00° and 90.00°. Symmetry generates all atoms from Ba at (0.000, 0.000, 0.000), Zn at (0.500, 0.500, 0.500), As at (0.000, 0.000, 0.500) and Se at (0.000, 0.500, 0.000).



Going by the computed energies, the most stable comes first: *i*, *ii*.



*i*
A plane-wave DFT calculation with GGA-PBE was carried out for a geometry-optimized Ba2SiAs structure.

Its total magnetic moment is 0.000 μB per atom.

The structure belongs to space group P4/mmm (No. 123); the cell edges are 5.349, 5.349 and 4.474 Å and the angles 90.00°, 90.00° and 90.00°. Symmetry generates all atoms from Ba at (0.000, 0.500, 0.000), Si at (0.000, 0.000, 0.500) and As at (0.500, 0.500, 0.500).



*ii*
A plane-wave DFT calculation with GGA-PBE was carried out for a geometry-optimized Ba2SiAs structure.

Its total magnetic moment is 0.000 μB per atom.

The structure belongs to space group I4/mmm (No. 139); the cell edges are 5.296, 5.296 and 9.099 Å and the angles 90.00°, 90.00° and 90.00°. Symmetry generates all atoms from Ba at (0.000, 0.500, 0.250), Si at (0.000, 0.000, 0.000) and As at (0.000, 0.000, 0.500).



*iii*
A plane-wave DFT calculation with GGA-PBE was carried out for a geometry-optimized Ba2SiAs structure.

Its total magnetic moment is 0.000 μB per atom.

The structure belongs to space group Cm (No. 8); the cell edges are 11.961, 4.435 and 5.218 Å and the angles 90.00°, 99.73° and 90.00°. Symmetry generates all atoms from Ba at (0.000, 0.000, 0.000), Ba at (0.237, 0.500, 0.560), Si at (0.450, 0.000, 0.452) and As at (0.289, 0.000, 0.111).



*iv*
A plane-wave DFT calculation with GGA-PBE was carried out for a geometry-optimized Ba2SiAs structure.

Its total magnetic moment is 0.000 μB per atom.

The structure belongs to space group Fm-3m (No. 225); the cell edges are 8.063, 8.063 and 8.063 Å and the angles 90.00°, 90.00° and 90.00°. Symmetry generates all atoms from Ba at (0.250, 0.250, 0.250), Si at (0.000, 0.000, 0.000) and As at (0.000, 0.000, 0.500).



Going by the computed energies, the most stable comes first: *iii*, *i*, *ii*, *iv*.



*i*
A plane-wave DFT calculation with GGA-PBE was carried out for a geometry-optimized Ba2Si2As structure.

Its total magnetic moment is 0.000 μB per atom.

The structure belongs to space group P4/mbm (No. 127); the cell edges are 7.790, 7.790 and 4.883 Å and the angles 90.00°, 90.00° and 90.00°. Symmetry generates all atoms from Ba at (0.187, 0.313, 0.000), Si at (0.107, 0.607, 0.500) and As at (0.000, 0.000, 0.500).



*ii*
A plane-wave DFT calculation with GGA-PBE was carried out for a geometry-optimized Ba2Si2As structure.

Its total magnetic moment is 0.000 μB per atom.

The structure belongs to space group I4/mmm (No. 139); the cell edges are 3.812, 3.812 and 19.796 Å and the angles 90.00°, 90.00° and 90.00°. Symmetry generates all atoms from Ba at (0.000, 0.000, 0.099), Si at (0.000, 0.500, 0.250) and As at (0.000, 0.000, 0.500).



Going by the computed energies, the most stable comes first: *ii*, *i*.



*i*
A plane-wave DFT calculation with GGA-PBE was carried out for a geometry-optimized Ba4SiAs4 structure.

Its total magnetic moment is 0.000 μB per atom.

The structure belongs to space group P-43n (No. 218); the cell edges are 13.487, 13.487 and 13.487 Å and the angles 90.00°, 90.00° and 90.00°. Symmetry generates all atoms from Ba at (0.096, 0.132, 0.644), Ba at (0.144, 0.144, 0.144), Si at (0.000, 0.000, 0.000), Si at (0.000, 0.500, 0.250), As at (0.103, 0.388, 0.652) and As at (0.104, 0.104, 0.896).



*ii*
A plane-wave DFT calculation with GGA-PBE was carried out for a geometry-optimized Ba4SiAs4 structure.

Its total magnetic moment is 0.000 μB per atom.

The structure belongs to space group P4_2/nmc (No. 137, origin choice 2); the cell edges are 9.447, 9.447 and 6.875 Å and the angles 90.00°, 90.00° and 90.00°. Symmetry generates all atoms from Ba at (0.018, 0.250, 0.067), Si at (0.250, 0.750, 0.250) and As at (0.033, 0.750, 0.444).



Going by the computed energies, the most stable comes first: *i*, *ii*.



*i*
A plane-wave DFT calculation with GGA-PBE was carried out for a geometry-optimized BaSmAs2 structure.

Its total magnetic moment is 0.000 μB per atom.

The structure belongs to space group R-3m (No. 166, hexagonal axes); the cell edges are 4.4049, 4.4049 and 22.5695 Å and the angles 90.00°, 90.00° and 120.00°. Symmetry generates all atoms from Ba at (0.0000, 0.0000, 0.0000), Sm at (0.0000, 0.0000, 0.5000) and As at (0.0000, 0.0000, 0.2376).



*ii*
A plane-wave DFT calculation with GGA-PBE was carried out for a geometry-optimized BaSmAs2 structure.

Its total magnetic moment is 0.000 μB per atom.

The structure belongs to space group R3m (No. 160, hexagonal axes); the cell edges are 4.3179, 4.3179 and 23.6084 Å and the angles 90.00°, 90.00° and 120.00°. Symmetry generates all atoms from Ba at (0.0000, 0.0000, 0.0000), Sm at (0.0000, 0.0000, 0.1720), As at (0.0000, 0.0000, 0.5747) and As at (0.0000, 0.0000, 0.7653).



Going by the computed energies, the most stable comes first: *i*, *ii*.



*i*
A plane-wave DFT calculation with GGA-PBE was carried out for a geometry-optimized Ba3SnAs3 structure.

Its total magnetic moment is 0.083 μB per atom.

The structure belongs to space group P6_3/m (No. 176); the cell edges are 9.6431, 9.6431 and 6.7222 Å and the angles 90.00°, 90.00° and 120.00°. Symmetry generates all atoms from Ba at (0.0771, 0.3756, 0.2500), Sn at (0.3333, 0.6667, 0.7500) and As at (0.0799, 0.3787, 0.7500).



*ii*
A plane-wave DFT calculation with GGA-PBE was carried out for a geometry-optimized Ba3SnAs3 structure.

Its total magnetic moment is 0.000 μB per atom.

The structure belongs to space group Pnma (No. 62); the cell edges are 13.753, 4.997 and 14.348 Å and the angles 90.00°, 90.00° and 90.00°. Symmetry generates all atoms from Ba at (0.076, 0.250, 0.108), Ba at (0.137, 0.750, 0.498), Ba at (0.217, 0.750, 0.797), Sn at (0.048, 0.250, 0.695), As at (0.035, 0.250, 0.344), As at (0.089, 0.250, 0.882) and As at (0.236, 0.250, 0.623).



Going by the computed energies, the most stable comes first: *ii*, *i*.



*i*
A plane-wave DFT calculation with GGA-PBE was carried out for a geometry-optimized Ba3SrAs structure.

Its total magnetic moment is 0.000 μB per atom.

The structure belongs to space group Pm-3m (No. 221); the cell edges are 6.456, 6.456 and 6.456 Å and the angles 90.00°, 90.00° and 90.00°. Symmetry generates all atoms from Ba at (0.000, 0.000, 0.500), Sr at (0.000, 0.000, 0.000) and As at (0.500, 0.500, 0.500).



*ii*
A plane-wave DFT calculation with GGA-PBE was carried out for a geometry-optimized Ba3SrAs structure.

Its total magnetic moment is 0.000 μB per atom.

The structure belongs to space group Pm-3m (No. 221); the cell edges are 6.544, 6.544 and 6.544 Å and the angles 90.00°, 90.00° and 90.00°. Symmetry generates all atoms from Ba at (0.000, 0.000, 0.500), Sr at (0.500, 0.500, 0.500) and As at (0.000, 0.000, 0.000).



Going by the computed energies, the most stable comes first: *ii*, *i*.